This record from Alexandria via LeMat-Bulk describes a relaxed structure of Li4Co3Ni5O16. The functional is PBE with a Hubbard U.

```
Li4Co3Ni5O16
1.0
-0.148 -0.033 -5.657
4.860 -1.033 2.709
-2.055 -9.251 0.159
Li O Co Ni
4 16 3 5
Direct
0.669 0.335 0.390
0.002 0.001 0.998
0.002 0.001 0.498
0.336 0.668 0.891
0.965 0.483 0.831
0.685 0.842 0.605
0.336 0.668 0.110
0.670 0.335 0.612
0.516 0.035 0.828
0.481 0.516 0.328
0.319 0.160 0.111
0.160 0.318 0.610
0.481 0.965 0.328
0.160 0.842 0.610
0.843 0.683 0.109
0.843 0.160 0.109
0.516 0.482 0.828
0.995 0.997 0.810
0.995 0.998 0.311
0.036 0.518 0.327
0.167 0.831 0.214
0.334 0.167 0.713
0.167 0.336 0.214
0.333 0.667 0.490
0.661 0.830 0.215
0.666 0.333 0.988
0.830 0.662 0.715
0.830 0.168 0.715
```

Values from the calculation:
Total DFT energy (no corrections) in eV/f.u.: -143.78